1.
First-principles (PBE) data for a relaxed Pm3ReCl2O6 crystal, as listed in the Alexandria database.

```
Pm3ReCl2O6
1.0
-3.022 -4.643 -0.862
0.261 -1.366 6.443
-5.507 2.940 -2.525
O Pm Re Cl
6 3 1 2
Direct
0.300 0.175 0.889
0.700 0.825 0.111
0.326 0.156 0.312
0.300 0.714 0.889
0.700 0.286 0.111
0.674 0.844 0.688
0.500 0.500 0.500
0.000 0.500 0.000
0.500 0.000 0.500
0.500 0.000 0.000
0.870 0.287 0.575
0.130 0.713 0.425
```

=====

2.
First-principles (PBE) data for a relaxed PmSClO4 crystal, as listed in the Alexandria database.

```
PmSClO4
1.0
-1.234 -5.971 0.129
4.958 -3.057 -1.806
2.605 -1.701 5.774
O Cl Pm S
8 2 2 2
Direct
0.848 0.516 0.849
0.290 0.290 0.485
0.484 0.152 0.151
0.152 0.484 0.151
0.486 0.486 0.762
0.516 0.848 0.849
0.710 0.710 0.515
0.514 0.514 0.238
0.977 0.977 0.762
0.023 0.023 0.238
0.772 0.772 0.139
0.228 0.228 0.861
0.364 0.364 0.263
0.636 0.636 0.737
```

=====

3.
First-principles (PBE) data for a relaxed PmS2Cl2O6 crystal, as listed in the Alexandria database.

```
PmS2Cl2O6
1.0
6.223 0.000 0.000
-3.111 5.389 0.000
0.000 0.000 6.276
S Pm O Cl
2 1 6 2
Direct
0.667 0.333 0.091
0.333 0.667 0.909
0.000 0.000 0.000
0.596 0.798 0.837
0.202 0.404 0.837
0.202 0.798 0.837
0.798 0.596 0.163
0.404 0.202 0.163
0.798 0.202 0.163
0.333 0.667 0.277
0.667 0.333 0.723
```

=====

4.
First-principles (PBE) data for a relaxed PmS2ClO6 crystal, as listed in the Alexandria database.

```
PmS2ClO6
1.0
-2.831 0.860 5.981
-3.406 -5.666 -0.903
8.053 -1.996 1.220
O S Pm Cl
12 4 2 2
Direct
0.829 0.590 0.879
0.286 0.507 0.436
0.507 0.286 0.936
0.410 0.171 0.621
0.590 0.829 0.379
0.562 0.920 0.779
0.080 0.438 0.721
0.714 0.493 0.564
0.171 0.410 0.121
0.920 0.562 0.279
0.438 0.080 0.221
0.493 0.714 0.064
0.090 0.420 0.270
0.910 0.580 0.730
0.420 0.090 0.770
0.580 0.910 0.230
0.556 0.444 0.250
0.444 0.556 0.750
0.886 0.114 0.250
0.114 0.886 0.750
```

=====

| no. | raw formation energy (eV/atom) |
| --- | --- |
| 1 | -2.252 |
| 2 | -2.151 |
| 3 | -1.420 |
| 4 | -1.696 |